Entry i
# PBE LaDy6Tm3, relaxed
# Total magnetic moment (Bohr magnetons per cell): 0.00
data_LaDy6Tm3
_cell_length_a 10.665
_cell_length_b 19.222
_cell_length_c 6.240
_cell_angle_alpha 90.00
_cell_angle_beta 90.00
_cell_angle_gamma 90.00
_symmetry_space_group_name_H-M 'C m c 21'
_symmetry_Int_Tables_number 36
loop_
_symmetry_equiv_pos_as_xyz
'x,y,z'
'-x,-y,z+1/2'
'-x,y,z'
'x,-y,z+1/2'
'x+1/2,y+1/2,z'
'-x+1/2,-y+1/2,z+1/2'
'-x+1/2,y+1/2,z'
'x+1/2,-y+1/2,z+1/2'
loop_
_atom_site_label
_atom_site_type_symbol
_atom_site_fract_x
_atom_site_fract_y
_atom_site_fract_z
La1 La 0.000 0.212 0.000
Dy1 Dy 0.000 0.049 0.297
Dy2 Dy 0.000 0.312 0.564
Dy3 Dy 0.170 0.457 0.701
Dy4 Dy 0.226 0.210 0.347
Tm1 Tm 0.000 0.386 0.098
Tm2 Tm 0.185 0.108 0.757

***

Entry ii
# PBE LaDy6Tm3, relaxed
# Total magnetic moment (Bohr magnetons per cell): 0.05
data_LaDy6Tm3
_cell_length_a 9.7673
_cell_length_b 9.7673
_cell_length_c 11.7767
_cell_angle_alpha 90.00
_cell_angle_beta 90.00
_cell_angle_gamma 120.00
_symmetry_space_group_name_H-M 'R 3'
_symmetry_Int_Tables_number 146
_symmetry_space_group_name_Hall 'R 3'
loop_
_atom_site_label
_atom_site_type_symbol
_atom_site_fract_x
_atom_site_fract_y
_atom_site_fract_z
La1 La 0.0000 0.0000 0.0000
Dy1 Dy 0.0031 0.6683 0.1650
Dy2 Dy 0.0044 0.3350 0.3321
Tm1 Tm 0.0000 0.0000 0.2580
Tm2 Tm 0.0000 0.0000 0.5024
Tm3 Tm 0.0000 0.0000 0.7493

***

The energy of each structure relative to the most stable one, in meV/atom, is as follows: entry i 0; entry ii 120.